The following is a DFT calculation (PBE-GGA) of a geometry-optimized HfAlV3 structure.

- Crystal system: cubic
- Energy relative to the elements: 1.553 eV per atom
- Magnetization: 0.0 μB/cell
- Distance to the lowest polymorph of the same formula: 1263 meV/atom

The structure in CIF format:
```
data_HfAlV3
_chemical_formula_sum 'Hf1 Al1 V3'
_cell_length_a 4.619
_cell_length_b 4.619
_cell_length_c 4.619
_cell_angle_alpha 90.00
_cell_angle_beta 90.00
_cell_angle_gamma 90.00
_space_group_name_H-M_alt 'P m -3 m'
_space_group_IT_number 221
_space_group_name_Hall '-P 4 2 3'
loop_
_atom_site_label
_atom_site_type_symbol
_atom_site_fract_x
_atom_site_fract_y
_atom_site_fract_z
Hf1 Hf 0.000 0.000 0.000
Al1 Al 0.500 0.500 0.500
V1 V 0.000 0.000 0.500
```

The following is a DFT calculation (PBE-GGA) of a geometry-optimized Mg2Ag6Pd structure.

- Crystal system: monoclinic
- Energy relative to the elements: -0.145 eV per atom
- Magnetization: 0.0 μB/cell

The structure in CIF format:
```
data_Mg2Ag6Pd
_chemical_formula_sum 'Mg8 Ag24 Pd4'
_cell_length_a 10.604
_cell_length_b 9.927
_cell_length_c 7.499
_cell_angle_alpha 90.00
_cell_angle_beta 125.27
_cell_angle_gamma 90.00
_space_group_name_H-M_alt 'C 1 2/c 1'
_space_group_IT_number 15
loop_
_space_group_symop_operation_xyz
'x,y,z'
'-x,-y,-z'
'-x,y,-z+1/2'
'x,-y,z+1/2'
'x+1/2,y+1/2,z'
'-x+1/2,-y+1/2,-z'
'-x+1/2,y+1/2,-z+1/2'
'x+1/2,-y+1/2,z+1/2'
loop_
_atom_site_label
_atom_site_type_symbol
_atom_site_fract_x
_atom_site_fract_y
_atom_site_fract_z
Mg1 Mg 0.186 0.106 0.431
Ag1 Ag 0.045 0.128 0.974
Ag2 Ag 0.103 0.404 0.686
Ag3 Ag 0.228 0.352 0.141
Pd1 Pd 0.000 0.328 0.250
```

The following is a DFT calculation (PBE-GGA) of a geometry-optimized Tl2NiAs structure.

- Crystal system: tetragonal
- Energy relative to the elements: 0.462 eV per atom
- Magnetization: 0.0 μB/cell
- Distance to the lowest polymorph of the same formula: 544 meV/atom

The structure in CIF format:
```
data_Tl2NiAs
_chemical_formula_sum 'Tl4 Ni2 As2'
_cell_length_a 4.798
_cell_length_b 4.798
_cell_length_c 7.639
_cell_angle_alpha 90.00
_cell_angle_beta 90.00
_cell_angle_gamma 90.00
_space_group_name_H-M_alt 'I -4 m 2'
_space_group_IT_number 119
_space_group_name_Hall 'I -4 -2'
loop_
_atom_site_label
_atom_site_type_symbol
_atom_site_fract_x
_atom_site_fract_y
_atom_site_fract_z
Tl1 Tl 0.000 0.000 0.000
Tl2 Tl 0.000 0.500 0.250
Ni1 Ni 0.000 0.000 0.500
As1 As 0.000 0.500 0.750
```